First-principles (PBE) data for a relaxed structure of NaLaCuSn, as listed in Alexandria via LeMat-Bulk.

Calculated values
* uncorrected energy: -3.803 eV/atom

Cell: 5.261 5.261 5.261 Å, 60.00 60.00 60.00°
Sites, in units of the cell vectors:
Na 0.500 0.500 0.500
Sn 0.750 0.750 0.750
Cu 0.250 0.250 0.250
La 0.000 0.000 0.000